Record 1
# YCdIn2

A geometry-optimized YCdIn2 structure (GGA-PBE, the Open Quantum Materials Database). Values from VASP.

Quantum ESPRESSO input file:
```
&SYSTEM
  ibrav = 0, nat = 16, ntyp = 3
/
ATOMIC_SPECIES
Y 88.91 Y.upf
Cd 112.41 Cd.upf
In 114.82 In.upf
CELL_PARAMETERS angstrom
7.3984 0.0000 0.0000
0.0000 7.3984 0.0000
0.0000 0.0000 7.3984
ATOMIC_POSITIONS angstrom
Y 0.0000 0.0000 0.0000
Y 0.0000 3.6992 3.6992
Y 3.6992 0.0000 3.6992
Y 3.6992 3.6992 0.0000
Cd 1.8496 1.8496 5.5488
Cd 1.8496 5.5488 1.8496
Cd 5.5488 1.8496 1.8496
Cd 5.5488 5.5488 5.5488
In 0.0000 0.0000 3.6992
In 0.0000 3.6992 0.0000
In 1.8496 1.8496 1.8496
In 1.8496 5.5488 5.5488
In 3.6992 0.0000 0.0000
In 3.6992 3.6992 3.6992
In 5.5488 1.8496 5.5488
In 5.5488 5.5488 1.8496
```

The total energy is -3.39 eV per atom. As for the calculated density: 7.07 g/cm³. The value obtained for the magnetic moment is 0.00 μB per atom.

***

Record 2
# Y5CdIn3

A geometry-optimized Y5CdIn3 structure (GGA-PBE, the Open Quantum Materials Database). Values from VASP.

Quantum ESPRESSO input file:
```
&SYSTEM
  ibrav = 0, nat = 18, ntyp = 3
/
ATOMIC_SPECIES
Y 88.91 Y.upf
Cd 112.41 Cd.upf
In 114.82 In.upf
CELL_PARAMETERS angstrom
9.2889 0.0000 0.0000
-4.6444 8.0444 0.0000
0.0000 0.0000 6.6887
ATOMIC_POSITIONS angstrom
Y -1.3416 2.3237 1.6722
Y -3.3028 5.7206 5.0165
Y 2.6832 0.0000 1.6722
Y 1.3416 2.3237 5.0165
Y 0.0000 5.3629 0.0000
Y 0.0000 5.3629 3.3443
Y 4.6444 2.6815 0.0000
Y 4.6444 2.6815 3.3443
Y 6.6056 0.0000 5.0165
Y 3.3028 5.7206 1.6722
Cd 0.0000 0.0000 0.0000
Cd 0.0000 0.0000 3.3443
In -1.7300 2.9965 5.0165
In -2.9144 5.0479 1.6722
In 3.4601 0.0000 5.0165
In 1.7300 2.9965 1.6722
In 5.8288 0.0000 1.6722
In 2.9144 5.0479 5.0165
```

The total energy is -5.05 eV per atom. As for the calculated density: 5.99 g/cm³. The value obtained for the magnetic moment is 0.00 μB per atom.

***

Record 3
# Y2ZnCdIn2

A geometry-optimized Y2ZnCdIn2 structure (GGA-PBE, the Open Quantum Materials Database). Values from VASP.

Quantum ESPRESSO input file:
```
&SYSTEM
  ibrav = 0, nat = 24, ntyp = 4
/
ATOMIC_SPECIES
Y 88.91 Y.upf
Zn 65.41 Zn.upf
Cd 112.41 Cd.upf
In 114.82 In.upf
CELL_PARAMETERS angstrom
8.2948 0.0000 0.0000
0.0000 4.7758 0.0000
-2.7076 0.0000 15.6285
ATOMIC_POSITIONS angstrom
Y 0.0000 0.0000 0.0000
Y -1.2758 2.3879 7.7146
Y -0.0360 0.0000 11.5324
Y 1.3925 2.3879 3.7918
Y 2.6983 0.0000 7.6024
Y 4.1444 2.3879 0.0032
Y 5.5301 0.0000 3.7179
Y 4.2752 2.3879 11.5736
Zn -1.3303 2.3879 10.5928
Zn 0.0128 0.0000 2.8708
Zn 1.3970 2.3879 6.6743
Zn 4.1399 2.3879 2.8649
Cd 0.0497 0.0000 14.5245
Cd 2.7941 0.0000 10.5915
Cd 5.5452 0.0000 6.6966
Cd 4.2008 2.3879 14.5449
In -1.3277 2.3879 13.5088
In 0.0418 0.0000 5.7036
In 1.3814 2.3879 9.5877
In 2.7570 0.0000 1.9062
In 4.1174 2.3879 5.7031
In 2.8089 0.0000 13.5526
In 6.9242 2.3879 1.9154
In 5.5998 0.0000 9.6380
```

The total energy is -3.78 eV per atom. As for the calculated density: 6.28 g/cm³. The value obtained for the magnetic moment is 0.00 μB per atom.

***

Record 4
# Zr2CdIn

A geometry-optimized Zr2CdIn structure (GGA-PBE, the Open Quantum Materials Database). Values from VASP.

Quantum ESPRESSO input file:
```
&SYSTEM
  ibrav = 0, nat = 16, ntyp = 3
/
ATOMIC_SPECIES
Zr 91.22 Zr.upf
Cd 112.41 Cd.upf
In 114.82 In.upf
CELL_PARAMETERS angstrom
7.1552 0.0000 0.0000
0.0000 7.1552 0.0000
0.0000 0.0000 7.1552
ATOMIC_POSITIONS angstrom
Zr 0.0000 0.0000 0.0000
Zr 0.0000 3.5776 3.5776
Zr 1.7888 1.7888 1.7888
Zr 1.7888 5.3664 5.3664
Zr 3.5776 0.0000 3.5776
Zr 3.5776 3.5776 0.0000
Zr 5.3664 1.7888 5.3664
Zr 5.3664 5.3664 1.7888
Cd 1.7888 1.7888 5.3664
Cd 1.7888 5.3664 1.7888
Cd 5.3664 1.7888 1.7888
Cd 5.3664 5.3664 5.3664
In 0.0000 0.0000 3.5776
In 0.0000 3.5776 0.0000
In 3.5776 0.0000 0.0000
In 3.5776 3.5776 3.5776
```

The total energy is -5.00 eV per atom. As for the calculated density: 7.43 g/cm³. The value obtained for the magnetic moment is 0.66 μB per atom.

***

Record 5
# Cd2Ir7

A geometry-optimized Cd2Ir7 structure (GGA-PBE, the Open Quantum Materials Database). Values from VASP.

Quantum ESPRESSO input file:
```
&SYSTEM
  ibrav = 0, nat = 9, ntyp = 2
/
ATOMIC_SPECIES
Cd 112.41 Cd.upf
Ir 192.22 Ir.upf
CELL_PARAMETERS angstrom
2.7629 0.0000 0.0000
-1.3814 2.3927 0.0000
0.0000 0.0000 32.6697
ATOMIC_POSITIONS angstrom
Cd 0.0000 1.5952 7.1929
Cd 1.3814 0.7976 25.4768
Ir 0.0000 0.0000 9.7062
Ir 0.0000 0.0000 16.3349
Ir 0.0000 0.0000 22.9635
Ir 0.0000 1.5952 14.1048
Ir 0.0000 1.5952 20.7741
Ir 1.3814 0.7976 11.8956
Ir 1.3814 0.7976 18.5650
```

As for the formation energy: 10.0 kJ per mole of atoms. The total energy is -6.98 eV per atom. As for the calculated density: 12.07 g/cm³. The value obtained for the magnetic moment is 0.00 μB per atom.

***

Record 6
# CdIr15

A geometry-optimized CdIr15 structure (GGA-PBE, the Open Quantum Materials Database). Values from VASP.

Quantum ESPRESSO input file:
```
&SYSTEM
  ibrav = 0, nat = 32, ntyp = 2
/
ATOMIC_SPECIES
Cd 112.41 Cd.upf
Ir 192.22 Ir.upf
CELL_PARAMETERS angstrom
5.4626 0.0000 0.0000
0.0000 2.7410 0.0000
-0.0012 0.0000 44.3741
ATOMIC_POSITIONS angstrom
Cd 0.6825 0.6853 7.1241
Cd 4.7790 2.0558 37.2500
Ir 0.6627 0.6853 34.7739
Ir 0.6826 0.6853 11.5205
Ir 0.6821 0.6853 15.3973
Ir 0.6813 0.6853 19.2748
Ir 0.6819 0.6853 23.1579
Ir 0.6830 0.6853 27.0367
Ir 0.6888 0.6853 30.9155
Ir 2.0288 2.0558 9.5999
Ir 2.0489 2.0558 17.3385
Ir 2.0477 2.0558 21.2160
Ir 2.0473 2.0558 25.0975
Ir 2.0475 2.0558 28.9697
Ir 2.0477 2.0558 32.8462
Ir 2.0475 2.0558 36.5755
Ir 2.0548 2.0558 13.4591
Ir 3.4067 0.6853 30.9150
Ir 3.4139 0.6853 7.7986
Ir 3.4138 0.6853 11.5278
Ir 3.4139 0.6853 15.4044
Ir 3.4141 0.6853 19.2766
Ir 3.4137 0.6853 23.1581
Ir 3.4126 0.6853 27.0356
Ir 3.4327 0.6853 34.7741
Ir 4.7726 2.0558 13.4585
Ir 4.7784 2.0558 17.3374
Ir 4.7795 2.0558 21.2162
Ir 4.7801 2.0558 25.0993
Ir 4.7793 2.0558 28.9768
Ir 4.7788 2.0558 32.8536
Ir 4.7987 2.0558 9.6001
```

As for the formation energy: 10.9 kJ per mole of atoms. The total energy is -8.24 eV per atom. As for the calculated density: 14.97 g/cm³. The value obtained for the magnetic moment is 0.00 μB per atom.